Record 1
! GGA-PBE Li5Ag2Hg12, relaxed; values from VASP
&SYSTEM
  ibrav = 0, nat = 19, ntyp = 3
/
ATOMIC_SPECIES
Li 6.94 Li.upf
Ag 107.87 Ag.upf
Hg 200.59 Hg.upf
CELL_PARAMETERS angstrom
6.2587 0.0000 0.0000
-3.1294 7.8730 0.2573
0.0000 -2.4586 8.9289
ATOMIC_POSITIONS crystal
Li 0.2884 0.5767 0.6050
Li 0.3596 0.7193 0.1264
Li 0.0000 0.0000 0.5000
Li 0.6404 0.2807 0.8736
Li 0.7116 0.4233 0.3950
Ag 0.7230 0.0000 0.0000
Ag 0.2770 0.0000 0.0000
Hg 0.9346 0.8693 0.1911
Hg 0.0491 0.6172 0.8669
Hg 0.5681 0.6172 0.8669
Hg 0.1090 0.7060 0.4102
Hg 0.5970 0.7060 0.4102
Hg 0.4704 0.9409 0.6937
Hg 0.5296 0.0591 0.3063
Hg 0.8910 0.2940 0.5898
Hg 0.4030 0.2940 0.5898
Hg 0.9509 0.3828 0.1331
Hg 0.4319 0.3828 0.1331
Hg 0.0654 0.1307 0.8089
! * energy of formation: -0.111 eV per atom
! * magnetization: 0.00 μB/cell

Record 2
! GGA-PBE Li3Ag2Hg2, relaxed; values from VASP
&SYSTEM
  ibrav = 0, nat = 7, ntyp = 3
/
ATOMIC_SPECIES
Li 6.94 Li.upf
Ag 107.87 Ag.upf
Hg 200.59 Hg.upf
CELL_PARAMETERS angstrom
-3.9033 -2.6297 -0.0057
0.7013 -1.0353 -2.5917
6.6007 -6.0613 4.2072
ATOMIC_POSITIONS crystal
Li 0.2872 0.0000 0.5788
Li 0.0000 0.0000 0.0000
Li 0.7128 0.0000 0.4212
Ag 0.1545 0.0000 0.2927
Ag 0.8455 0.0000 0.7073
Hg 0.4092 0.5000 0.8451
Hg 0.5908 0.5000 0.1549
! * energy of formation: -0.128 eV per atom
! * magnetization: 0.00 μB/cell

Record 3
! GGA-PBE Li5AgHg8, relaxed; values from VASP
&SYSTEM
  ibrav = 0, nat = 14, ntyp = 3
/
ATOMIC_SPECIES
Li 6.94 Li.upf
Ag 107.87 Ag.upf
Hg 200.59 Hg.upf
CELL_PARAMETERS angstrom
7.2637 0.0275 -0.0473
-2.4318 6.8446 0.0473
-2.4000 -3.4473 5.9263
ATOMIC_POSITIONS crystal
Li 0.0116 0.3527 0.1168
Li 0.8832 0.8949 0.2359
Li 0.7641 0.6473 0.6590
Li 0.5000 0.0000 0.5000
Li 0.3410 0.1051 0.9884
Ag 0.2500 0.5000 0.7500
Hg 0.1260 0.7410 0.0516
Hg 0.9484 0.0744 0.6894
Hg 0.7674 0.2568 0.3674
Hg 0.6326 0.4000 0.8895
Hg 0.4894 0.6000 0.2326
Hg 0.6150 0.9256 0.8740
Hg 0.3106 0.2590 0.3850
Hg 0.1105 0.7432 0.5106
! * energy of formation: -0.208 eV per atom
! * magnetization: 0.00 μB/cell

Record 4
! GGA-PBE LiAg2Hg, relaxed; values from VASP
&SYSTEM
  ibrav = 0, nat = 4, ntyp = 3
/
ATOMIC_SPECIES
Hg 200.59 Hg.upf
Ag 107.87 Ag.upf
Li 6.94 Li.upf
CELL_PARAMETERS angstrom
4.8675 -0.7052 0.6361
3.5492 3.4048 0.6361
1.4517 0.4656 4.0353
ATOMIC_POSITIONS crystal
Hg 0.5002 0.5002 0.4999
Ag 0.9997 0.9997 0.0002
Ag 0.2500 0.2500 0.2500
Li 0.7501 0.7501 0.7499
! * energy of formation: -0.161 eV per atom
! * magnetization: 0.00 μB/cell

Record 5
! GGA-PBE LiAg5Hg2, relaxed; values from VASP
&SYSTEM
  ibrav = 0, nat = 16, ntyp = 3
/
ATOMIC_SPECIES
Li 6.94 Li.upf
Ag 107.87 Ag.upf
Hg 200.59 Hg.upf
CELL_PARAMETERS angstrom
4.1476 0.0000 0.0000
0.0000 5.9730 0.0000
0.0000 0.0000 11.9751
ATOMIC_POSITIONS crystal
Li 0.0000 0.0000 0.5000
Li 0.0000 0.5000 0.0000
Ag 0.0000 0.0000 0.0000
Ag 0.0000 0.5000 0.5000
Ag 0.0000 0.4876 0.7499
Ag 0.0000 0.5124 0.2501
Ag 0.0000 0.0124 0.2499
Ag 0.0000 0.9876 0.7501
Ag 0.5000 0.2412 0.8740
Ag 0.5000 0.7588 0.1260
Ag 0.5000 0.2588 0.3740
Ag 0.5000 0.7412 0.6260
Hg 0.5000 0.2329 0.6202
Hg 0.5000 0.7671 0.3798
Hg 0.5000 0.2671 0.1202
Hg 0.5000 0.7329 0.8798
! * energy of formation: -0.068 eV per atom
! * magnetization: 0.00 μB/cell

Record 6
! GGA-PBE Li4AgHg, relaxed; values from VASP
&SYSTEM
  ibrav = 0, nat = 6, ntyp = 3
/
ATOMIC_SPECIES
Li 6.94 Li.upf
Ag 107.87 Ag.upf
Hg 200.59 Hg.upf
CELL_PARAMETERS angstrom
2.9527 0.0000 0.0000
0.0000 7.7553 0.0193
0.0000 -0.0188 4.8608
ATOMIC_POSITIONS crystal
Li 0.5000 0.6782 0.9996
Li 0.5000 0.3218 0.0004
Li 0.0000 0.1912 0.5004
Li 0.0000 0.8088 0.4996
Ag 0.5000 0.5000 0.5000
Hg 0.0000 0.0000 0.0000
! * energy of formation: -0.163 eV per atom
! * magnetization: 0.00 μB/cell

Record 7
! GGA-PBE LiAg2Hg, relaxed; values from VASP
&SYSTEM
  ibrav = 0, nat = 4, ntyp = 3
/
ATOMIC_SPECIES
Li 6.94 Li.upf
Ag 107.87 Ag.upf
Hg 200.59 Hg.upf
CELL_PARAMETERS angstrom
-1.0480 -1.8350 3.3555
1.3184 -3.6637 0.7514
5.1681 0.5916 4.2809
ATOMIC_POSITIONS crystal
Li 0.4995 0.4995 0.5015
Ag 0.0923 0.0923 0.7231
Ag 0.2411 0.2411 0.2767
Hg 0.6671 0.6671 0.9987
! * energy of formation: 0.077 eV per atom
! * magnetization: 0.00 μB/cell

Record 8
! GGA-PBE Li4AgHg2, relaxed; values from VASP
&SYSTEM
  ibrav = 0, nat = 14, ntyp = 3
/
ATOMIC_SPECIES
Li 6.94 Li.upf
Ag 107.87 Ag.upf
Hg 200.59 Hg.upf
CELL_PARAMETERS angstrom
4.7792 0.0000 -0.2718
0.0000 5.6884 0.0000
-1.9581 0.0000 9.7222
ATOMIC_POSITIONS crystal
Li 0.6417 0.5032 0.2798
Li 0.9389 0.7500 0.8804
Li 0.0611 0.2500 0.1196
Li 0.6417 0.9968 0.2798
Li 0.7781 0.2500 0.5470
Li 0.3583 0.0032 0.7202
Li 0.3583 0.4968 0.7202
Li 0.2219 0.7500 0.4530
Ag 0.0956 0.7500 0.1844
Ag 0.9044 0.2500 0.8156
Hg 0.5078 0.7500 0.0149
Hg 0.4922 0.2500 0.9851
Hg 0.2053 0.2500 0.4043
Hg 0.7947 0.7500 0.5957
! * energy of formation: -0.233 eV per atom
! * magnetization: 0.00 μB/cell

Record 9
! GGA-PBE Li3Ag2Hg6, relaxed; values from VASP
&SYSTEM
  ibrav = 0, nat = 11, ntyp = 3
/
ATOMIC_SPECIES
Li 6.94 Li.upf
Ag 107.87 Ag.upf
Hg 200.59 Hg.upf
CELL_PARAMETERS angstrom
-3.3149 -4.2536 -0.5029
1.8972 -0.8880 -4.9947
7.7289 -3.3396 6.4662
ATOMIC_POSITIONS crystal
Li 0.0000 0.0000 0.0000
Li 0.8535 0.8535 0.7071
Li 0.1465 0.1465 0.2929
Ag 0.4283 0.4283 0.8567
Ag 0.5717 0.5717 0.1433
Hg 0.0856 0.5856 0.1711
Hg 0.5856 0.0856 0.1711
Hg 0.9144 0.4144 0.8289
Hg 0.4144 0.9144 0.8289
Hg 0.7193 0.7193 0.4385
Hg 0.2807 0.2807 0.5615
! * energy of formation: 0.004 eV per atom
! * magnetization: 0.00 μB/cell

Record 10
! GGA-PBE LiAg2Hg2, relaxed; values from VASP
&SYSTEM
  ibrav = 0, nat = 10, ntyp = 3
/
ATOMIC_SPECIES
Li 6.94 Li.upf
Ag 107.87 Ag.upf
Hg 200.59 Hg.upf
CELL_PARAMETERS angstrom
-2.0088 4.4747 1.8522
-5.3176 -1.7725 -1.4851
3.7599 -3.7875 5.8074
ATOMIC_POSITIONS crystal
Li 0.1010 0.7500 0.0000
Li 0.8990 0.2500 0.0000
Ag 0.3250 0.2637 0.8126
Ag 0.5124 0.2363 0.1874
Ag 0.6750 0.7363 0.1874
Ag 0.4876 0.7637 0.8126
Hg 0.0996 0.2110 0.3679
Hg 0.2683 0.7110 0.3679
Hg 0.9004 0.7890 0.6321
Hg 0.7317 0.2890 0.6321
! * energy of formation: -0.088 eV per atom
! * magnetization: 0.00 μB/cell

Record 11
! GGA-PBE LiAg2Hg3, relaxed; values from VASP
&SYSTEM
  ibrav = 0, nat = 12, ntyp = 3
/
ATOMIC_SPECIES
Li 6.94 Li.upf
Ag 107.87 Ag.upf
Hg 200.59 Hg.upf
CELL_PARAMETERS angstrom
-4.0204 2.5881 -5.3948
2.1380 -6.1039 3.1839
-6.0514 0.3104 4.6587
ATOMIC_POSITIONS crystal
Li 0.3409 0.6591 0.0000
Li 0.6591 0.3409 0.0000
Ag 0.0000 0.0000 0.0000
Ag 0.0000 0.0000 0.5000
Ag 0.3329 0.6671 0.5000
Ag 0.6671 0.3329 0.5000
Hg 0.8288 0.1712 0.7645
Hg 0.5000 0.5000 0.2475
Hg 0.1712 0.8288 0.2355
Hg 0.8288 0.1712 0.2355
Hg 0.1712 0.8288 0.7645
Hg 0.5000 0.5000 0.7525
! * energy of formation: -0.088 eV per atom
! * magnetization: 0.00 μB/cell

Record 12
! GGA-PBE LiAg2Hg, relaxed; values from VASP
&SYSTEM
  ibrav = 0, nat = 4, ntyp = 3
/
ATOMIC_SPECIES
Ag 107.87 Ag.upf
Hg 200.59 Hg.upf
Li 6.94 Li.upf
CELL_PARAMETERS angstrom
9.4157 -0.0045 -0.0026
8.9192 3.0173 -0.0026
8.9192 1.4656 2.6374
ATOMIC_POSITIONS crystal
Ag 0.0038 0.0038 0.0038
Ag 0.2532 0.2532 0.2532
Hg 0.4954 0.4954 0.4954
Li 0.7475 0.7475 0.7475
! * energy of formation: -0.073 eV per atom
! * magnetization: 0.00 μB/cell

Question: What is the magnetization in the fourth record?
Answer: 0.00 μB/cell